Computed, not measured: a relaxed structure of ZrPt2Cl at the GGA-PBE level of DFT.

It has space group Cmmm (No. 65), with a = 5.213 Å, b = 9.274 Å, c = 3.035 Å, α = 90.00°, β = 90.00° and γ = 90.00°. The inequivalent atoms are Zr at (0.000, 0.000, 0.000), Pt at (0.250, 0.250, 0.500) and Cl at (0.000, 0.500, 0.000).

The density of states at the Fermi level comes out at 1.350 states/eV per atom. As for the total energy: -5.811 eV/atom. As for the magnetic moment: 0.00 μB/f.u. The calculation puts the formation energy without anion corrections at -0.191 eV per atom.

Computed, not measured: a relaxed structure of LiPmHoTe3 at the GGA-PBE level of DFT.

It has space group P2_1/m (No. 11), with a = 8.941 Å, b = 4.262 Å, c = 9.502 Å, α = 90.00°, β = 103.70° and γ = 90.00°. The inequivalent atoms are Li at (0.085, 0.250, 0.085), Pm at (0.189, 0.250, 0.733), Ho at (0.331, 0.750, 0.339), Te at (0.092, 0.250, 0.376), Te at (0.235, 0.750, 0.001) and Te at (0.431, 0.750, 0.674).

The density of states at the Fermi level comes out at 0.482 states/eV per atom. As for the total energy: -4.712 eV/atom. As for the magnetic moment: 0.00 μB/f.u. The calculation puts the formation energy without anion corrections at -1.267 eV per atom.

Computed, not measured: a relaxed structure of BaAlMo3 at the GGA-PBE level of DFT.

It has space group Pm-3m (No. 221), with a = 4.842 Å, b = 4.842 Å, c = 4.842 Å, α = 90.00°, β = 90.00° and γ = 90.00°. The inequivalent atoms are Ba at (0.000, 0.000, 0.000), Al at (0.500, 0.500, 0.500) and Mo at (0.000, 0.500, 0.500).

The density of states at the Fermi level comes out at 1.754 states/eV per atom. As for the total energy: -6.070 eV/atom. As for the magnetic moment: 0.00 μB/f.u.

Computed, not measured: a relaxed structure of Ac2HgGe at the GGA-PBE level of DFT.

It has space group P4/mmm (No. 123), with a = 4.049 Å, b = 4.049 Å, c = 7.642 Å, α = 90.00°, β = 90.00° and γ = 90.00°. The inequivalent atoms are Ac at (0.000, 0.000, 0.225), Hg at (0.500, 0.500, 0.500) and Ge at (0.500, 0.500, 0.000).

The density of states at the Fermi level comes out at 0.862 states/eV per atom. As for the total energy: -3.820 eV/atom. As for the magnetic moment: 0.00 μB/f.u.

Computed, not measured: a relaxed structure of Bi3Pd7Au at the GGA-PBE level of DFT.

It has space group Cmcm (No. 63), with a = 3.591 Å, b = 21.428 Å, c = 10.895 Å, α = 90.00°, β = 90.00° and γ = 90.00°. The inequivalent atoms are Bi at (0.000, 0.083, 0.062), Bi at (0.000, 0.235, 0.750), Pd at (0.000, 0.212, 0.075), Pd at (0.000, 0.345, 0.101), Pd at (0.000, 0.367, 0.750), Pd at (0.000, 0.488, 0.126) and Au at (0.000, 0.087, 0.750).

The density of states at the Fermi level comes out at 0.511 states/eV per atom. As for the total energy: -4.845 eV/atom. As for the magnetic moment: 0.00 μB/f.u.

Computed, not measured: a relaxed structure of CaSn2Hg8 at the GGA-PBE level of DFT.

It has space group C2/m (No. 12), with a = 18.007 Å, b = 5.983 Å, c = 5.499 Å, α = 90.00°, β = 98.12° and γ = 90.00°. The inequivalent atoms are Ca at (0.000, 0.000, 0.000), Sn at (0.238, 0.500, 0.392), Hg at (0.087, 0.247, 0.551), Hg at (0.088, 0.500, 0.041) and Hg at (0.186, 0.000, 0.068).

The density of states at the Fermi level comes out at 0.408 states/eV per atom. As for the total energy: -1.213 eV/atom. As for the magnetic moment: 0.00 μB/f.u.

Computed, not measured: a relaxed structure of TmSnCl5 at the GGA-PBE level of DFT.

It has space group C2/c (No. 15), with a = 10.072 Å, b = 10.219 Å, c = 10.223 Å, α = 90.00°, β = 116.64° and γ = 90.00°. The inequivalent atoms are Tm at (0.250, 0.250, 0.000), Sn at (0.000, 0.085, 0.250), Cl at (0.000, 0.237, 0.750), Cl at (0.097, 0.284, 0.146) and Cl at (0.231, 0.001, 0.524).

The density of states at the Fermi level comes out at 0.000 states/eV per atom. As for the total energy: -4.209 eV/atom. As for the magnetic moment: 0.00 μB/f.u. The calculation puts the formation energy without anion corrections at -1.680 eV per atom.

Computed, not measured: a relaxed structure of KHgPd at the GGA-PBE level of DFT.

It has space group F-43m (No. 216), with a = 7.000 Å, b = 7.000 Å, c = 7.000 Å, α = 90.00°, β = 90.00° and γ = 90.00°. The inequivalent atoms are K at (0.000, 0.000, 0.000), Hg at (0.000, 0.000, 0.500) and Pd at (0.250, 0.250, 0.250).

The density of states at the Fermi level comes out at 0.641 states/eV per atom. As for the total energy: -2.167 eV/atom. As for the magnetic moment: 0.00 μB/f.u.